Compound: LiCu7Ni4
Source: Alexandria via LeMat-Bulk
Functional: GGA-PBE
Structure: optimized geometry

Cell lengths 5.062, 4.378, 7.581 Å; angles 73.33, 60.22, 90.13 degrees
Fractional coordinates of all 12 atoms:
Cu1 0.001 0.333 0.665
Cu2 0.748 0.169 0.335
Cu3 0.999 0.667 0.335
Cu4 0.500 0.000 0.000
Cu5 0.748 0.502 0.001
Cu6 0.252 0.498 0.999
Cu7 0.252 0.831 0.665
Li1 0.000 0.000 0.000
Ni1 0.506 0.338 0.665
Ni2 0.252 0.163 0.332
Ni3 0.494 0.662 0.335
Ni4 0.748 0.837 0.668

The symmetry is No. 2. The magnetization is 0.0 μB/cell. The formation energy from the elements comes out at -0.012 eV per atom.